# 1
Computed, not measured: a relaxed PuThH5 crystal at the GGA-PBE level of DFT.

Cell: 3.7596 3.7596 5.4761 Å, 90.00 90.00 90.00°
Space group P4/mmm (No. 123)
Symmetry-distinct sites (fractional):
Pu1 0.0000 0.0000 0.0000 [1 per cell]
Th1 0.5000 0.5000 0.5000 [1 per cell]
H1 0.0000 0.5000 0.2553 [4 per cell]
H2 0.5000 0.5000 0.0000 [1 per cell]

Electronic total energy   -41.64 eV/f.u.
V   77.40 Å³ per cell
DOS at the Fermi energy   8.071 states/eV/cell
ρ   10.3 g/cm3
Spin magnetization   5.58 μB per formula unit

---

# 2
Computed, not measured: a relaxed Er4HgTe5 crystal at the GGA-PBE level of DFT.

Cell: 19.9741 4.2598 9.0311 Å, 90.00 105.98 90.00°
Space group C2/m (No. 12)
Symmetry-distinct sites (fractional):
Er1 0.0233 0.0000 0.2471 [4 per cell]
Er2 0.1666 0.5000 0.5447 [4 per cell]
Hg1 0.0000 0.5000 0.5000 [2 per cell]
Te1 0.0000 0.5000 0.0000 [2 per cell]
Te2 0.1243 0.0000 0.7356 [4 per cell]
Te3 0.1788 0.0000 0.3069 [4 per cell]

Electronic total energy   -45.08 eV/f.u.
V   738.74 Å³ per cell
DOS at the Fermi energy   0.837 states/eV/cell
ρ   6.8 g/cm3
Spin magnetization   0.00 μB per formula unit
Uncorrected formation energy   -1.08 eV/atom

---

Q: What is the formula in the first record?
A: PuThH5